No. 1
The following is a PBE calculation of crystalline Li2Pa2O5 at its relaxed geometry, from OQMD.

Output
ΔE to the lowest computed polymorph = 115 meV per atom
E_tot = -7.451 eV/atom

Cell and atoms, written as CIF:
```
data_Li2Pa2O5
_cell_length_a 4.1489
_cell_length_b 4.1489
_cell_length_c 8.5389
_cell_angle_alpha 90.00
_cell_angle_beta 90.00
_cell_angle_gamma 90.00
_space_group_name_H-M_alt 'P 4/m m m'
_space_group_IT_number 123
_space_group_name_Hall '-P 4 2'
loop_
_atom_site_label
_atom_site_type_symbol
_atom_site_fract_x
_atom_site_fract_y
_atom_site_fract_z
Li1 Li 0.0000 0.0000 0.0000
Li2 Li 0.0000 0.0000 0.5000
Pa1 Pa 0.5000 0.5000 0.2409
O1 O 0.0000 0.5000 0.1644
O2 O 0.5000 0.5000 0.5000
```

***

No. 2
The following is a PBE calculation of crystalline Zr2CuB at its relaxed geometry, from OQMD.

Output
E_tot = -7.076 eV/atom

Cell and atoms, written as CIF:
```
data_Zr2CuB
_cell_length_a 3.4845
_cell_length_b 3.4845
_cell_length_c 13.0847
_cell_angle_alpha 90.00
_cell_angle_beta 90.00
_cell_angle_gamma 120.00
_space_group_name_H-M_alt 'P 63/m m c'
_space_group_IT_number 194
_space_group_name_Hall '-P 6c 2c'
loop_
_atom_site_label
_atom_site_type_symbol
_atom_site_fract_x
_atom_site_fract_y
_atom_site_fract_z
Zr1 Zr 0.3333 0.6667 0.0992
Cu1 Cu 0.3333 0.6667 0.7500
B1 B 0.0000 0.0000 0.0000
```